Record 1
The following is a PBE calculation of crystalline SrLa2Th at its relaxed geometry, from Alexandria. Values from VASP.

```
&SYSTEM
  ibrav = 0, nat = 4, ntyp = 3
/
ATOMIC_SPECIES
Sr 87.62 Sr.upf
La 138.91 La.upf
Th 232.04 Th.upf
ATOMIC_POSITIONS crystal
Sr 0.000 0.000 0.000
La 0.094 0.094 0.094
La 0.906 0.906 0.906
Th 0.500 0.500 0.500
CELL_PARAMETERS angstrom
1.847 1.066 13.103
-1.847 1.066 13.103
0.000 -2.133 13.103
```

Output
mass density: 6.41 g/cm3
E_form: 0.1316 eV/atom
symmetry: R-3m

Record 2
The following is a PBE calculation of crystalline BaLiGaSn at its relaxed geometry, from Alexandria. Values from VASP.

```
&SYSTEM
  ibrav = 0, nat = 4, ntyp = 4
/
ATOMIC_SPECIES
Ba 137.33 Ba.upf
Li 6.94 Li.upf
Ga 69.72 Ga.upf
Sn 118.71 Sn.upf
ATOMIC_POSITIONS crystal
Ba 0.000 0.000 0.000
Li 0.750 0.750 0.750
Ga 0.250 0.250 0.250
Sn 0.500 0.500 0.500
CELL_PARAMETERS angstrom
0.000 3.775 3.775
3.775 0.000 3.775
3.775 3.775 0.000
```

Output
mass density: 5.13 g/cm3
E_form: -0.3265 eV/atom
symmetry: F-43m

Record 3
The following is a PBE calculation of crystalline LiGa2Re at its relaxed geometry, from Alexandria. Values from VASP.

```
&SYSTEM
  ibrav = 0, nat = 4, ntyp = 3
/
ATOMIC_SPECIES
Li 6.94 Li.upf
Ga 69.72 Ga.upf
Re 186.21 Re.upf
ATOMIC_POSITIONS crystal
Li 0.000 0.000 0.000
Ga 0.000 0.500 0.500
Ga 0.500 0.000 0.500
Re 0.500 0.500 0.000
CELL_PARAMETERS angstrom
4.288 0.000 0.000
0.000 4.288 0.000
0.000 0.000 3.119
```

Output
mass density: 9.63 g/cm3
E_form: -0.0260 eV/atom
symmetry: P4/mmm

Record 4
The following is a PBE calculation of crystalline CaAc3N at its relaxed geometry, from Alexandria. Values from VASP.

```
&SYSTEM
  ibrav = 0, nat = 5, ntyp = 3
/
ATOMIC_SPECIES
Ca 40.08 Ca.upf
Ac 227.00 Ac.upf
N 14.01 N.upf
ATOMIC_POSITIONS crystal
Ca 0.000 0.000 0.000
Ac 0.000 0.500 0.500
Ac 0.500 0.000 0.500
Ac 0.500 0.500 0.000
N 0.500 0.500 0.500
CELL_PARAMETERS angstrom
5.509 0.000 0.000
0.000 5.509 0.000
0.000 0.000 5.509
```

Output
mass density: 7.30 g/cm3
symmetry: Pm-3m
formation energy from raw total energies: -388 meV per atom

Record 5
The following is a PBE calculation of crystalline LiZn17Pb at its relaxed geometry, from Alexandria. Values from VASP.

```
&SYSTEM
  ibrav = 0, nat = 19, ntyp = 3
/
ATOMIC_SPECIES
Li 6.94 Li.upf
Zn 65.41 Zn.upf
Pb 207.20 Pb.upf
ATOMIC_POSITIONS crystal
Li 0.000 0.000 0.000
Zn 0.035 0.330 0.637
Zn 0.035 0.637 0.330
Zn 0.173 0.688 0.688
Zn 0.226 0.226 0.226
Zn 0.330 0.035 0.637
Zn 0.330 0.637 0.035
Zn 0.332 0.332 0.837
Zn 0.332 0.837 0.332
Zn 0.432 0.432 0.432
Zn 0.487 0.988 0.988
Zn 0.637 0.035 0.330
Zn 0.637 0.330 0.035
Zn 0.688 0.173 0.688
Zn 0.688 0.688 0.173
Zn 0.837 0.332 0.332
Zn 0.988 0.487 0.988
Zn 0.988 0.988 0.487
Pb 0.681 0.681 0.681
CELL_PARAMETERS angstrom
4.554 2.630 4.390
-4.554 2.630 4.390
0.000 -5.259 4.390
```

Output
mass density: 6.98 g/cm3
E_form: 0.0071 eV/atom
symmetry: R3m

Record 6
The following is a PBE calculation of crystalline CoNi3Pt at its relaxed geometry, from Alexandria. Values from VASP.

```
&SYSTEM
  ibrav = 0, nat = 10, ntyp = 3
/
ATOMIC_SPECIES
Co 58.93 Co.upf
Ni 58.69 Ni.upf
Pt 195.08 Pt.upf
ATOMIC_POSITIONS crystal
Co 0.000 0.000 0.000
Co 0.000 0.000 0.500
Ni 0.198 0.396 0.250
Ni 0.198 0.802 0.250
Ni 0.396 0.198 0.750
Ni 0.604 0.802 0.250
Ni 0.802 0.198 0.750
Ni 0.802 0.604 0.750
Pt 0.333 0.667 0.750
Pt 0.667 0.333 0.250
CELL_PARAMETERS angstrom
5.722 0.000 0.000
-2.861 4.956 0.000
0.000 0.000 4.612
```

Output
mass density: 10.92 g/cm3
E_form: 0.4067 eV/atom
symmetry: P6_3/mmc

Record 7
The following is a PBE calculation of crystalline Zn2ReOsRu at its relaxed geometry, from Alexandria. Values from VASP.

```
&SYSTEM
  ibrav = 0, nat = 5, ntyp = 4
/
ATOMIC_SPECIES
Zn 65.41 Zn.upf
Re 186.21 Re.upf
Os 190.23 Os.upf
Ru 101.07 Ru.upf
ATOMIC_POSITIONS crystal
Zn 0.000 0.500 0.000
Zn 0.500 0.000 0.000
Re 0.000 0.000 0.500
Os 0.500 0.500 0.500
Ru 0.000 0.000 0.000
CELL_PARAMETERS angstrom
4.562 0.000 0.000
0.000 4.562 0.000
0.000 0.000 4.647
```

Output
mass density: 10.44 g/cm3
E_form: 1.7898 eV/atom
symmetry: P4/mmm

Record 8
The following is a PBE calculation of crystalline Li3CuPt at its relaxed geometry, from Alexandria. Values from VASP.

```
&SYSTEM
  ibrav = 0, nat = 5, ntyp = 3
/
ATOMIC_SPECIES
Li 6.94 Li.upf
Cu 63.55 Cu.upf
Pt 195.08 Pt.upf
ATOMIC_POSITIONS crystal
Li 0.000 0.000 0.500
Li 0.000 0.500 0.000
Li 0.500 0.000 0.000
Cu 0.500 0.500 0.500
Pt 0.000 0.000 0.000
CELL_PARAMETERS angstrom
4.689 0.000 0.000
0.000 4.689 0.000
0.000 0.000 4.689
```

Output
mass density: 4.50 g/cm3
E_form: 0.1580 eV/atom
symmetry: Pm-3m

Number 1: calculated volume 38.7 A^3/atom. Number 2: calculated volume 26.9 A^3/atom. Number 3: calculated volume 14.3 A^3/atom. Number 4: calculated volume 33.4 A^3/atom. Number 5: calculated volume 16.6 A^3/atom. Number 6: calculated volume 13.1 A^3/atom. Number 7: calculated volume 19.3 A^3/atom. Number 8: calculated volume 20.6 A^3/atom.